Crystalline Gd3Mg3ZnCu2 at its relaxed geometry, computed with PBE.

Output
space group = P-62m (189)
calculated total energy = -3.252 eV/atom
M_tot = 0.002 μB per atom

abc: 7.4340 7.4340 4.1639
angles: 90.00 90.00 120.00
With the nearest neighbours (Å) after each atom.
Sites, in units of the cell vectors:
Gd1 0.0000 0.4178 0.0000  4 Cu 3.05, 1 Zn 3.11, 6 Mg 3.25-3.41
Gd2 0.4178 0.0000 0.0000  4 Cu 3.05, 1 Zn 3.11, 6 Mg 3.25-3.41
Gd3 0.5822 0.5822 0.0000  4 Cu 3.05, 1 Zn 3.11, 6 Mg 3.25-3.41
Mg1 0.0000 0.7531 0.5000  2 Zn 2.78, 2 Cu 2.85
Mg2 0.2469 0.2469 0.5000  2 Zn 2.78, 2 Cu 2.85
Mg3 0.7531 0.0000 0.5000  2 Zn 2.78, 2 Cu 2.85
Zn1 0.0000 0.0000 0.0000  6 Mg 2.78, 3 Gd 3.11
Cu1 0.3333 0.6667 0.5000  3 Mg 2.85, 6 Gd 3.05
Cu2 0.6667 0.3333 0.5000  3 Mg 2.85, 6 Gd 3.05